A relaxed Pm2Nd8Ho3 crystal. Source: Alexandria, functional PBE.

Results
Energy above the lowest structure with this stoichiometry = 0.0 meV per atom
DOS at the Fermi energy = 20.8 states/eV/cell
Magnetic moment = 0.00 μB per cell
Formation energy = 0.16 eV per atom

a b c (Å): 8.9618 8.9618 6.1616
angles (deg): 107.71 107.71 82.53
Atoms (fractional coordinates):
Pm 0.1894 0.1894 0.3398
Pm 0.8106 0.8106 0.6602
Nd 0.0850 0.0850 0.7611
Nd 0.0984 0.5764 0.3428
Nd 0.3614 0.3614 0.8961
Nd 0.4236 0.9016 0.6572
Nd 0.5764 0.0984 0.3428
Nd 0.6386 0.6386 0.1039
Nd 0.9016 0.4236 0.6572
Nd 0.9150 0.9150 0.2389
Ho 0.2343 0.7657 0.0000
Ho 0.5000 0.5000 0.5000
Ho 0.7657 0.2343 0.0000

=====

A relaxed PmNd6Ho crystal. Source: Alexandria, functional PBE.

Results
DOS at the Fermi energy = 12.7 states/eV/cell
Magnetic moment = 0.00 μB per cell
Formation energy = 0.02 eV per atom

a b c (Å): 8.9538 8.1841 6.3335
angles (deg): 74.95 61.97 43.09
Atoms (fractional coordinates):
Pm 0.0000 0.0000 0.0000
Nd 0.1238 0.1238 0.3762
Nd 0.2506 0.2506 0.7494
Nd 0.3762 0.3762 0.1238
Nd 0.6238 0.6238 0.8762
Nd 0.7494 0.7494 0.2506
Nd 0.8762 0.8762 0.6238
Ho 0.5000 0.5000 0.5000

=====

A relaxed Pm2Nd5Ho3 crystal. Source: Alexandria, functional PBE.

Results
Energy above the lowest structure with this stoichiometry = 0.0 meV per atom
DOS at the Fermi energy = 36.5 states/eV/cell
Magnetic moment = 0.00 μB per cell
Formation energy = 0.18 eV per atom

a b c (Å): 9.3292 9.3292 9.9560
angles (deg): 108.57 108.57 108.45
Atoms (fractional coordinates):
Pm 0.0268 0.2710 0.0560
Pm 0.2710 0.0268 0.5560
Pm 0.7290 0.9732 0.4440
Pm 0.9732 0.7290 0.9440
Nd 0.1404 0.3810 0.7666
Nd 0.2288 0.7712 0.7500
Nd 0.2682 0.7318 0.2500
Nd 0.3810 0.1404 0.2666
Nd 0.4724 0.5276 0.2500
Nd 0.5276 0.4724 0.7500
Nd 0.6190 0.8596 0.7334
Nd 0.7318 0.2682 0.7500
Nd 0.7712 0.2288 0.2500
Nd 0.8596 0.6190 0.2334
Ho 0.0212 0.9788 0.7500
Ho 0.2201 0.4658 0.4477
Ho 0.4658 0.2201 0.9477
Ho 0.5342 0.7799 0.0523
Ho 0.7799 0.5342 0.5523
Ho 0.9788 0.0212 0.2500

=====

What did the third record say?
A relaxed Pm2Nd5Ho3 crystal. Source: Alexandria, functional PBE.

Results
Energy above the lowest structure with this stoichiometry = 0.0 meV per atom
DOS at the Fermi energy = 36.5 states/eV/cell
Magnetic moment = 0.00 μB per cell
Formation energy = 0.18 eV per atom

a b c (Å): 9.3292 9.3292 9.9560
angles (deg): 108.57 108.57 108.45
Atoms (fractional coordinates):
Pm 0.0268 0.2710 0.0560
Pm 0.2710 0.0268 0.5560
Pm 0.7290 0.9732 0.4440
Pm 0.9732 0.7290 0.9440
Nd 0.1404 0.3810 0.7666
Nd 0.2288 0.7712 0.7500
Nd 0.2682 0.7318 0.2500
Nd 0.3810 0.1404 0.2666
Nd 0.4724 0.5276 0.2500
Nd 0.5276 0.4724 0.7500
Nd 0.6190 0.8596 0.7334
Nd 0.7318 0.2682 0.7500
Nd 0.7712 0.2288 0.2500
Nd 0.8596 0.6190 0.2334
Ho 0.0212 0.9788 0.7500
Ho 0.2201 0.4658 0.4477
Ho 0.4658 0.2201 0.9477
Ho 0.5342 0.7799 0.0523
Ho 0.7799 0.5342 0.5523
Ho 0.9788 0.0212 0.2500

=====

Which value of magnetic moment does entry 3 give? 0.00 μB per cell

=====

magnetic moment of number 2 (PmNd6Ho)? 0.00 μB per cell